# 1
{"formula": "MgZrZn2H", "functional": "PBE", "state": "optimized geometry", "lattice_angstrom": [[4.299, 0.000, 0.000], [0.000, 4.299, 0.000], [0.000, 0.000, 4.055]], "species": ["Mg", "Zr", "Zn", "Zn", "H"], "frac_coords": [[0.000, 0.000, 0.000], [0.500, 0.500, 0.000], [0.000, 0.500, 0.500], [0.500, 0.000, 0.500], [0.500, 0.500, 0.500]], "crystal_system": "tetragonal", "dos_at_fermi_per_ev_fu": 2.45, "energy_ev_per_cell": -16.6}

# 2
{"formula": "MgZrH2", "functional": "PBE", "state": "optimized geometry", "lattice_angstrom": [[4.344, 0.000, 0.000], [0.000, 4.340, 0.000], [-4.337, 0.000, 9.791]], "species": ["Mg", "Mg", "Mg", "Mg", "Zr", "Zr", "Zr", "Zr", "H", "H", "H", "H", "H", "H", "H", "H"], "frac_coords": [[0.126, 0.249, 0.125], [0.126, 0.751, 0.625], [0.874, 0.249, 0.375], [0.874, 0.751, 0.875], [0.375, 0.250, 0.875], [0.375, 0.750, 0.375], [0.625, 0.250, 0.625], [0.625, 0.750, 0.125], [0.161, 0.253, 0.662], [0.161, 0.747, 0.162], [0.407, 0.250, 0.412], [0.407, 0.750, 0.912], [0.593, 0.250, 0.088], [0.593, 0.750, 0.588], [0.839, 0.253, 0.838], [0.839, 0.747, 0.338]], "crystal_system": "monoclinic", "dos_at_fermi_per_ev_fu": 1.81, "energy_ev_per_cell": -70.8, "de_polymorph_mev_per_atom": 26}